Entry 1:
A plane-wave DFT calculation with PBE was carried out for NiSbAsBr2 after structural relaxation.

For the energy above the most stable polymorph in this dataset, the calculation gives 0 meV/atom. The total DFT energy (no corrections) comes out at -3.34 eV per atom. The value obtained for the uncorrected formation energy is 22.8 kJ per mole of atoms.

The structure belongs to space group P4/mmm (No. 123); the cell edges are 4.767, 4.767 and 5.000 Å and the angles 90.00°, 90.00° and 90.00°. Symmetry generates all atoms from Ni at (0.000, 0.000, 0.000), Sb at (0.500, 0.500, 0.500), As at (0.000, 0.000, 0.500) and Br at (0.000, 0.500, 0.000).

Entry 2:
A plane-wave DFT calculation with PBE was carried out for KVOs2Pd after structural relaxation.

The total DFT energy (no corrections) comes out at -5.83 eV per atom. The value obtained for the formation energy is 1747 meV/atom.

The structure belongs to space group P4/mmm (No. 123); the cell edges are 4.486, 4.486 and 5.255 Å and the angles 90.00°, 90.00° and 90.00°. Symmetry generates all atoms from K at (0.000, 0.000, 0.000), V at (0.000, 0.000, 0.500), Os at (0.000, 0.500, 0.500) and Pd at (0.500, 0.500, 0.000).